1.
VASP calculation (PBE) on crystalline BaNiBi2 at its relaxed geometry.

Lattice parameters (Å, degrees): 7.757 7.757 7.757 90.00 90.00 90.00
Space group Fm-3m (No. 225)
Inequivalent atoms, fractional coordinates:
Ba 0.000 0.000 0.000 x4
Ni 0.000 0.000 0.500 x4
Bi 0.250 0.250 0.250 x8

Computed properties:
The calculation puts the volume at 467 Å³/cell. As for the energy of formation from the pure elements: 0.125 eV per atom.

2.
VASP calculation (PBE) on crystalline BaNiBi3 at its relaxed geometry.

Lattice parameters (Å, degrees): 5.377 5.377 5.377 90.00 90.00 90.00
Space group Pm-3m (No. 221)
Inequivalent atoms, fractional coordinates:
Ba 0.000 0.000 0.000 x1
Ni 0.500 0.500 0.500 x1
Bi 0.000 0.500 0.500 x3

Computed properties:
The calculation puts the volume at 155 Å³/cell. As for the energy of formation from the pure elements: -0.220 eV per atom. The calculation puts the energy above the lowest structure with this stoichiometry at 0.000 eV per atom.

3.
VASP calculation (PBE) on crystalline Ba3NiBi at its relaxed geometry.

Lattice parameters (Å, degrees): 5.853 5.853 5.853 90.00 90.00 90.00
Space group Pm-3m (No. 221)
Inequivalent atoms, fractional coordinates:
Ba 0.000 0.000 0.500 x3
Ni 0.000 0.000 0.000 x1
Bi 0.500 0.500 0.500 x1

Computed properties:
The calculation puts the volume at 201 Å³/cell. As for the energy of formation from the pure elements: -0.331 eV per atom. The calculation puts the energy above the lowest structure with this stoichiometry at 0.000 eV per atom.

4.
VASP calculation (PBE) on crystalline Ba2NiBi at its relaxed geometry.

Lattice parameters (Å, degrees): 9.107 9.107 6.678 90.00 90.00 90.00
Space group I-42d (No. 122)
Inequivalent atoms, fractional coordinates:
Ba 0.183 0.250 0.125 x8
Ni 0.000 0.000 0.000 x4
Bi 0.000 0.000 0.500 x4

Computed properties:
The calculation puts the volume at 554 Å³/cell. As for the energy of formation from the pure elements: -0.117 eV per atom.